The following is a GGA+U calculation of an optimized crystal structure of Ca3Cu2NiP4O16, from Alexandria.

Computed properties:
Crystal system: monoclinic
Calculated volume: 330.8 Å³/f.u.
Raw total energy: -6.77 eV/atom

Lattice parameters (Å, degrees): 8.9608 4.9641 14.9218 90.00 94.71 90.00
With the nearest neighbours (Å) after each atom.
Space group P2_1 (No. 4)
Unique sites:
1 Ca 0.2132 0.0000 0.0143 [2 per cell]  5 O 2.30-2.57
2 Ca 0.2478 0.0399 0.7510 [2 per cell]  6 O 2.30-2.48
3 Ca 0.2809 0.0565 0.4837 [2 per cell]  6 O 2.30-2.57
4 Cu 0.2472 0.0243 0.2490 [2 per cell]  4 O 1.94-2.00
5 Cu 0.4243 0.5034 0.1307 [2 per cell]  4 O 1.92-2.09
6 Ni 0.0811 0.5664 0.3731 [2 per cell]  5 O 2.02-2.18
7 P 0.0932 0.5395 0.1555 [2 per cell]  4 O 1.52-1.60
8 P 0.1265 0.5595 0.5941 [2 per cell]  4 O 1.52-1.58
9 P 0.3715 0.5290 0.9110 [2 per cell]  4 O 1.52-1.58
10 P 0.4064 0.5109 0.3443 [2 per cell]  4 O 1.52-1.59
11 O 0.0037 0.6240 0.0691 [2 per cell]  1 P 1.52
12 O 0.0090 0.5843 0.2403 [2 per cell]  1 P 1.54
13 O 0.0368 0.9541 0.4024 [2 per cell]  1 P 1.56
14 O 0.1234 0.8753 0.6070 [2 per cell]  1 P 1.58
15 O 0.1497 0.2422 0.1489 [2 per cell]  1 P 1.57
16 O 0.1811 0.5051 0.4982 [2 per cell]  1 P 1.57
17 O 0.2363 0.4256 0.6632 [2 per cell]  1 P 1.52
18 O 0.2397 0.7247 0.1658 [2 per cell]  1 P 1.60
19 O 0.2558 0.7014 0.8569 [2 per cell]  1 P 1.52
20 O 0.2655 0.3143 0.3367 [2 per cell]  1 P 1.59
21 O 0.3323 0.7962 0.3517 [2 per cell]  1 P 1.57
22 O 0.3352 0.5757 0.0115 [2 per cell]  1 P 1.58
23 O 0.3551 0.2229 0.8910 [2 per cell]  1 P 1.55
24 O 0.4636 0.1151 0.1016 [2 per cell]  1 P 1.56
25 O 0.4938 0.4826 0.2596 [2 per cell]  1 P 1.55
26 O 0.4953 0.9422 0.5710 [2 per cell]  1 P 1.52